Density functional theory data (PBE-GGA) for a relaxed structure of Ce12ErTh3.

```
16
Lattice="-0.442 0.012 -4.783 -2.837 -3.868 0.252 -15.507 11.470 1.461" Properties=species:S:1:pos:R:3 pbc="T T T"
Ce -1.640 -1.928 -2.266
Ce -5.537 0.955 -1.898
Ce -9.393 3.807 -1.535
Ce -13.249 6.659 -1.172
Ce -2.174 1.451 -2.208
Ce -6.039 4.310 -1.844
Ce -9.910 7.172 -1.479
Ce -13.775 10.031 -1.115
Ce -3.372 -0.489 0.310
Ce -7.237 2.369 0.674
Ce -11.108 5.232 1.039
Ce -14.972 8.091 1.403
Er 0.000 0.000 0.000
Th -3.871 2.864 0.365
Th -7.754 5.735 0.731
Th -11.636 8.606 1.096
```

Computed properties:
The magnetization is 0.00 μB/f.u. The formation energy is 0.032 eV/atom. The calculated total energy is -6.09 eV/atom. The density of states at the Fermi level is 2.268 states/eV/atom. The volume is 27.9 A^3/atom.